The following is a DFT calculation (GGA+U) of a relaxed structure of Ba2FeRuF.

Geometry as extended XYZ:
```
5
Lattice="6.289 0.000 0.000 0.000 6.289 0.000 0.000 0.000 3.899" Properties=species:S:1:pos:R:3 pbc="T T T"
Ba 0.000 3.145 0.000
Ba 3.145 0.000 0.000
Fe 0.000 0.000 0.000
Ru 3.145 3.145 1.949
F 0.000 0.000 1.949
```

Summary:
The value obtained for the total energy is -19.5 eV/cell.